# 1
The following is a DFT calculation (GGA-PBE) of an optimized crystal structure of Tc2BiW.

Results
**Energy**: -127.349 eV/cell

a b c (Å): 6.2662 6.2662 10.1965
angles (deg): 90.00 90.00 90.00
With the nearest neighbours (Å) after each atom.
Space group I-42d (No. 122)
Symmetry-distinct sites (fractional):
1 Tc 0.2157 0.2500 0.1250 x8  2 W 2.43, 2 Bi 2.69
2 Bi 0.0000 0.0000 0.5000 x4  4 Tc 2.69
3 W 0.0000 0.0000 0.0000 x4  4 Tc 2.43



# 2
The following is a DFT calculation (GGA-PBE) of an optimized crystal structure of HgOs2Ru.

Results
**Energy**: -28.304 eV/cell

a b c (Å): 2.8350 4.7012 4.7520
angles (deg): 90.00 90.00 90.00
With the nearest neighbours (Å) after each atom.
Space group Pmmm (No. 47)
Symmetry-distinct sites (fractional):
1 Hg 0.0000 0.0000 0.0000 x1  4 Ru 2.74, 4 Os 2.77, 2 Hg 2.84
2 Os 0.0000 0.5000 0.5000 x1  6 Os 2.74-2.84, 4 Ru 2.77
3 Os 0.5000 0.0000 0.5000 x1  6 Os 2.74-2.84, 4 Hg 2.77
4 Ru 0.5000 0.5000 0.0000 x1  4 Hg 2.74, 4 Os 2.77, 2 Ru 2.84